This record from the Alexandria database describes a relaxed NiSn2Pd3 crystal. The functional is GGA-PBE.

Cell: 5.5293 5.5640 7.8109 Å, 110.87 110.73 90.00°
Element x y z (fractional)
Ni: 0.0000 0.7500 0.0000
Ni: 0.0000 0.2500 0.0000
Sn: 0.0991 0.3677 0.7355
Sn: 0.3636 0.1323 0.2645
Sn: 0.6364 0.8677 0.7355
Sn: 0.9009 0.6323 0.2645
Pd: 0.5000 0.7500 0.0000
Pd: 0.4303 0.6708 0.3416
Pd: 0.0887 0.8292 0.6584
Pd: 0.5000 0.2500 0.0000
Pd: 0.5697 0.3292 0.6584
Pd: 0.9113 0.1708 0.3416

## Properties
density	9.8	g/cm³
space group	Ibam, No. 72
crystal system	orthorhombic

This record from the Alexandria database describes a relaxed Ni2SnPd8 crystal. The functional is GGA-PBE.

Cell: 4.5796 6.6170 6.6170 Å, 84.73 78.39 78.39°
Element x y z (fractional)
Pd: 0.7046 0.5790 0.5790
Pd: 0.2117 0.8488 0.3363
Pd: 0.2954 0.4210 0.4210
Pd: 0.7883 0.1512 0.6637
Pd: 0.1196 0.7279 0.7279
Pd: 0.2117 0.3363 0.8488
Pd: 0.7883 0.6637 0.1512
Pd: 0.8804 0.2721 0.2721
Ni: 0.4500 0.1437 0.1437
Ni: 0.5500 0.8563 0.8563
Sn: 0.0000 0.0000 0.0000

## Properties
density	9.4	g/cm³
space group	C2/m, No. 12
crystal system	monoclinic

This record from the Alexandria database describes a relaxed NiSn6Pd crystal. The functional is GGA-PBE.

Cell: 6.5392 6.0177 7.4248 Å, 59.08 60.88 54.97°
Element x y z (fractional)
Sn: 0.9699 0.5288 0.2923
Sn: 0.4238 0.7727 0.7394
Sn: 0.7294 0.0408 0.8151
Sn: 0.0301 0.4712 0.7077
Sn: 0.5762 0.2273 0.2606
Sn: 0.2706 0.9592 0.1849
Pd: 0.5000 0.5000 0.5000
Ni: 0.0000 0.0000 0.0000

## Properties
density	7.4	g/cm³
space group	P-1, No. 2
crystal system	triclinic
ΔE to the lowest computed polymorph	13	meV/atom

This record from the Alexandria database describes a relaxed NiSn8Pd2 crystal. The functional is GGA-PBE.

Cell: 5.3140 6.3951 8.5048 Å, 108.44 90.03 75.88°
Element x y z (fractional)
Sn: 0.2364 0.1771 0.2567
Sn: 0.3701 0.6340 0.8940
Sn: 0.7636 0.8229 0.7433
Sn: 0.2830 0.7406 0.4545
Sn: 0.1822 0.1509 0.7961
Sn: 0.7170 0.2594 0.5455
Sn: 0.8178 0.8491 0.2038
Sn: 0.6299 0.3660 0.1060
Pd: 0.8244 0.5831 0.3960
Pd: 0.1756 0.4169 0.6040
Ni: 0.0000 0.0000 0.0000

## Properties
density	7.7	g/cm³
space group	P-1, No. 2
crystal system	triclinic

This record from the Alexandria database describes a relaxed NiSn2Pd2 crystal. The functional is GGA-PBE.

Cell: 7.0956 7.0956 3.6021 Å, 90.00 90.00 90.00°
Element x y z (fractional)
Ni: 0.0000 0.0000 0.0000
Ni: 0.5000 0.5000 0.0000
Pd: 0.6418 0.8582 0.5000
Pd: 0.8582 0.3582 0.5000
Pd: 0.3582 0.1418 0.5000
Pd: 0.1418 0.6418 0.5000
Sn: 0.8408 0.6592 0.0000
Sn: 0.6592 0.1592 0.0000
Sn: 0.3408 0.8408 0.0000
Sn: 0.1592 0.3408 0.0000

## Properties
density	9.3	g/cm³
space group	P4/mbm, No. 127
crystal system	tetragonal
ΔE to the lowest computed polymorph	0	meV/atom

This record from the Alexandria database describes a relaxed NiSn6Pd12 crystal. The functional is GGA-PBE.

Cell: 7.4195 7.4195 7.4195 Å, 107.32 107.32 107.32°
Element x y z (fractional)
Pd: 0.2837 0.8408 0.0991
Pd: 0.5080 0.3913 0.8132
Pd: 0.4920 0.6087 0.1868
Pd: 0.6087 0.1868 0.4920
Pd: 0.7163 0.1592 0.9009
Pd: 0.3913 0.8132 0.5080
Pd: 0.8132 0.5080 0.3913
Pd: 0.1868 0.4920 0.6087
Pd: 0.1592 0.9009 0.7163
Pd: 0.8408 0.0991 0.2837
Pd: 0.0991 0.2837 0.8408
Pd: 0.9009 0.7163 0.1592
Sn: 0.2140 0.0926 0.4445
Sn: 0.7860 0.9074 0.5555
Sn: 0.4445 0.2140 0.0926
Sn: 0.5555 0.7860 0.9074
Sn: 0.9074 0.5555 0.7860
Sn: 0.0926 0.4445 0.2140
Ni: 0.0000 0.0000 0.0000

## Properties
density	10.1	g/cm³
space group	R-3, No. 148
crystal system	trigonal

This record from the Alexandria database describes a relaxed NiSn2Pd2 crystal. The functional is GGA-PBE.

Cell: 7.1975 7.1975 3.5013 Å, 90.00 90.00 90.00°
Element x y z (fractional)
Sn: 0.1670 0.6670 0.5000
Sn: 0.6670 0.8330 0.5000
Sn: 0.8330 0.3330 0.5000
Sn: 0.3330 0.1670 0.5000
Pd: 0.3622 0.8622 0.0000
Pd: 0.1378 0.3622 0.0000
Pd: 0.6378 0.1378 0.0000
Pd: 0.8622 0.6378 0.0000
Ni: 0.0000 0.0000 0.0000
Ni: 0.5000 0.5000 0.0000

## Properties
density	9.3	g/cm³
space group	P4/mbm, No. 127
crystal system	tetragonal
ΔE to the lowest computed polymorph	41	meV/atom

This record from the Alexandria database describes a relaxed NiSnPd5 crystal. The functional is GGA-PBE.

Cell: 7.5638 7.5638 7.9733 Å, 47.63 47.63 74.66°
Element x y z (fractional)
Pd: 0.8976 0.6802 0.5132
Pd: 0.5420 0.2022 0.1149
Pd: 0.1626 0.8374 0.7500
Pd: 0.1024 0.3198 0.4868
Pd: 0.6802 0.8976 0.0132
Pd: 0.7978 0.4580 0.3851
Pd: 0.3198 0.1024 0.9868
Pd: 0.4580 0.7978 0.8851
Pd: 0.2022 0.5420 0.6149
Pd: 0.8374 0.1626 0.2500
Ni: 0.0000 0.0000 0.5000
Ni: 0.0000 0.0000 0.0000
Sn: 0.4416 0.5584 0.7500
Sn: 0.5584 0.4416 0.2500

## Properties
density	10.1	g/cm³
space group	C2/c, No. 15
crystal system	monoclinic

This record from the Alexandria database describes a relaxed Ni4SnPd crystal. The functional is GGA-PBE.

Cell: 4.8128 4.8128 4.8128 Å, 60.00 60.00 60.00°
Element x y z (fractional)
Sn: 0.0000 0.0000 0.0000
Ni: 0.6247 0.6247 0.6247
Ni: 0.6247 0.1260 0.6247
Ni: 0.1260 0.6247 0.6247
Ni: 0.6247 0.6247 0.1260
Pd: 0.2500 0.2500 0.2500

## Properties
density	9.7	g/cm³
space group	F-43m, No. 216
crystal system	cubic

This record from the Alexandria database describes a relaxed NiSnPd crystal. The functional is GGA-PBE.

Cell: 3.0304 4.2901 4.2901 Å, 120.00 90.00 90.00°
Element x y z (fractional)
Sn: 0.5931 0.6667 0.3333
Pd: 0.9896 0.0000 0.0000
Ni: 0.4173 0.3333 0.6667

## Properties
density	9.8	g/cm³
space group	P3m1, No. 156
crystal system	trigonal

This record from the Alexandria database describes a relaxed NiSnPd crystal. The functional is GGA-PBE.

Cell: 3.3542 3.3542 4.8324 Å, 110.31 110.31 90.00°
Element x y z (fractional)
Pd: 0.6171 0.6171 0.2342
Ni: 0.2884 0.2884 0.5767
Sn: 0.9445 0.9445 0.8891

## Properties
density	9.9	g/cm³
space group	I4mm, No. 107
crystal system	tetragonal

This record from the Alexandria database describes a relaxed NiSnPd2 crystal. The functional is GGA-PBE.

Cell: 3.8250 3.8250 9.6523 Å, 78.57 78.57 90.00°
Element x y z (fractional)
Pd: 0.1341 0.6250 0.2500
Pd: 0.3750 0.3841 0.7500
Pd: 0.8750 0.8659 0.7500
Pd: 0.6159 0.1250 0.2500
Ni: 0.2500 0.7500 0.5000
Ni: 0.5000 0.5000 0.0000
Sn: 0.0000 0.0000 0.0000
Sn: 0.7500 0.2500 0.5000

## Properties
density	9.6	g/cm³
space group	I-42d, No. 122
crystal system	tetragonal

This record from the Alexandria database describes a relaxed NiSn2Pd8 crystal. The functional is GGA-PBE.

Cell: 4.8285 7.0587 7.0587 Å, 55.28 75.57 75.57°
Element x y z (fractional)
Pd: 0.3312 0.3627 0.3627
Pd: 0.2187 0.7707 0.3604
Pd: 0.6688 0.6373 0.6373
Pd: 0.9316 0.2321 0.2321
Pd: 0.0684 0.7679 0.7679
Pd: 0.2187 0.3604 0.7707
Pd: 0.7813 0.2293 0.6396
Pd: 0.7813 0.6396 0.2293
Sn: 0.5032 0.1400 0.1400
Sn: 0.4968 0.8600 0.8600
Ni: 0.0000 0.0000 0.0000

## Properties
density	10.0	g/cm³
space group	C2/m, No. 12
crystal system	monoclinic

This record from the Alexandria database describes a relaxed NiSn2Pd5 crystal. The functional is GGA-PBE.

Cell: 3.9975 5.6693 11.3199 Å, 90.00 90.00 90.00°
Element x y z (fractional)
Sn: 0.5000 0.7485 0.3759
Sn: 0.5000 0.7515 0.8759
Sn: 0.5000 0.2485 0.1241
Sn: 0.5000 0.2515 0.6241
Pd: 0.0000 0.0000 0.0000
Pd: 0.0000 0.4920 0.2461
Pd: 0.5000 0.7398 0.1201
Pd: 0.0000 0.5000 0.5000
Pd: 0.0000 0.5080 0.7539
Pd: 0.5000 0.2602 0.8799
Pd: 0.0000 0.9920 0.2539
Pd: 0.0000 0.0080 0.7461
Pd: 0.5000 0.2398 0.3799
Pd: 0.5000 0.7602 0.6201
Ni: 0.0000 0.5000 0.0000
Ni: 0.0000 0.0000 0.5000

## Properties
density	10.7	g/cm³
space group	Pbam, No. 55
crystal system	orthorhombic

This record from the Alexandria database describes a relaxed NiSn6Pd crystal. The functional is GGA-PBE.

Cell: 8.3137 8.3137 7.9648 Å, 109.56 109.19 111.37°
Element x y z (fractional)
Sn: 0.5029 0.8424 0.6669
Sn: 0.3204 0.4942 0.1455
Sn: 0.3487 0.1749 0.8545
Sn: 0.1587 0.3460 0.5047
Sn: 0.1756 0.8360 0.3331
Sn: 0.1606 0.6749 0.8354
Sn: 0.8413 0.6540 0.4953
Sn: 0.6796 0.5058 0.8545
Sn: 0.4971 0.1576 0.3331
Sn: 0.8394 0.3251 0.1646
Sn: 0.8244 0.1640 0.6669
Sn: 0.6513 0.8251 0.1455
Ni: 0.5000 0.0000 0.0000
Ni: 0.0000 0.5000 0.0000
Pd: 0.5000 0.5000 0.5000
Pd: 0.0000 0.0000 0.5000

## Properties
density	7.0	g/cm³
space group	C2/m, No. 12
crystal system	monoclinic
ΔE to the lowest computed polymorph	0	meV/atom

This record from the Alexandria database describes a relaxed SrNiSn2Pd crystal. The functional is GGA-PBE.

Cell: 4.6427 4.6427 6.3482 Å, 111.45 111.45 90.00°
Element x y z (fractional)
Pd: 0.7500 0.2500 0.5000
Ni: 0.2500 0.7500 0.5000
Sr: 0.0000 0.0000 0.0000
Sn: 0.3616 0.3616 0.7231
Sn: 0.6384 0.6384 0.2769

## Properties
density	6.9	g/cm³
space group	I-4m2, No. 119
crystal system	tetragonal

This record from the Alexandria database describes a relaxed Sr2NiSn3Pd4 crystal. The functional is GGA-PBE.

Cell: 4.4871 4.4871 11.1705 Å, 90.00 90.00 90.00°
Element x y z (fractional)
Sn: 0.5000 0.0000 0.8683
Sn: 0.0000 0.5000 0.1317
Sn: 0.0000 0.0000 0.5000
Sr: 0.0000 0.5000 0.7385
Sr: 0.5000 0.0000 0.2615
Pd: 0.0000 0.5000 0.3711
Pd: 0.5000 0.0000 0.6289
Pd: 0.5000 0.5000 0.0000
Pd: 0.0000 0.0000 0.0000
Ni: 0.5000 0.5000 0.5000

## Properties
density	7.5	g/cm³
space group	P-4m2, No. 115
crystal system	tetragonal

This record from the Alexandria database describes a relaxed Sr2NiSn4Pd3 crystal. The functional is GGA-PBE.

Cell: 4.6232 4.6232 10.9457 Å, 90.00 90.00 90.00°
Element x y z (fractional)
Sn: 0.0000 0.0000 0.0000
Sn: 0.5000 0.5000 0.0000
Sn: 0.0000 0.5000 0.3844
Sn: 0.5000 0.0000 0.6156
Ni: 0.5000 0.5000 0.5000
Sr: 0.5000 0.0000 0.2578
Sr: 0.0000 0.5000 0.7422
Pd: 0.5000 0.0000 0.8631
Pd: 0.0000 0.0000 0.5000
Pd: 0.0000 0.5000 0.1369

## Properties
density	7.3	g/cm³
space group	P-4m2, No. 115
crystal system	tetragonal

This record from the Alexandria database describes a relaxed TbNiSnPd crystal. The functional is GGA-PBE.

Cell: 4.7248 4.7248 4.7248 Å, 60.00 60.00 60.00°
Element x y z (fractional)
Sn: 0.2500 0.2500 0.2500
Tb: 0.7500 0.7500 0.7500
Pd: 0.0000 0.0000 0.0000
Ni: 0.5000 0.5000 0.5000

## Properties
density	9.9	g/cm³
space group	F-43m, No. 216
crystal system	cubic

This record from the Alexandria database describes a relaxed TcNiSnPd2 crystal. The functional is GGA-PBE.

Cell: 4.7713 4.7713 5.0677 Å, 90.00 90.00 90.00°
Element x y z (fractional)
Ni: 0.5000 0.5000 0.5000
Pd: 0.5000 0.0000 0.0000
Pd: 0.0000 0.5000 0.0000
Tc: 0.0000 0.0000 0.0000
Sn: 0.0000 0.0000 0.5000

## Properties
density	7.0	g/cm³
space group	P4/mmm, No. 123
crystal system	tetragonal

This record from the Alexandria database describes a relaxed TiNiSnPd crystal. The functional is GGA-PBE.

Cell: 4.4671 4.4671 4.4671 Å, 60.00 60.00 60.00°
Element x y z (fractional)
Pd: 0.7500 0.7500 0.7500
Sn: 0.0000 0.0000 0.0000
Ni: 0.2500 0.2500 0.2500
Ti: 0.5000 0.5000 0.5000

## Properties
density	8.7	g/cm³
space group	F-43m, No. 216
crystal system	cubic

This record from the Alexandria database describes a relaxed TmNiSnPd crystal. The functional is GGA-PBE.

Cell: 4.6740 4.6740 4.6740 Å, 60.00 60.00 60.00°
Element x y z (fractional)
Ni: 0.5000 0.5000 0.5000
Tm: 0.7500 0.7500 0.7500
Pd: 0.0000 0.0000 0.0000
Sn: 0.2500 0.2500 0.2500

## Properties
density	10.4	g/cm³
space group	F-43m, No. 216
crystal system	cubic

This record from the Alexandria database describes a relaxed VNiSnPd crystal. The functional is GGA-PBE.

Cell: 4.4338 4.4338 4.4338 Å, 60.00 60.00 60.00°
Element x y z (fractional)
Sn: 0.2500 0.2500 0.2500
Pd: 0.0000 0.0000 0.0000
V: 0.7500 0.7500 0.7500
Ni: 0.5000 0.5000 0.5000

## Properties
density	9.0	g/cm³
space group	F-43m, No. 216
crystal system	cubic

This record from the Alexandria database describes a relaxed ZrNiSnPd crystal. The functional is GGA-PBE.

Cell: 4.5982 4.5982 4.5982 Å, 60.00 60.00 60.00°
Element x y z (fractional)
Zr: 0.7500 0.7500 0.7500
Ni: 0.5000 0.5000 0.5000
Pd: 0.0000 0.0000 0.0000
Sn: 0.2500 0.2500 0.2500

## Properties
density	9.1	g/cm³
space group	F-43m, No. 216
crystal system	cubic

Listing E_tot for the structures above in their given order: -5.29; -4.98; -4.50; -4.56; -5.02; -5.27; -4.98; -5.16; -5.46; -5.21; -5.23; -5.10; -5.14; -5.40; -4.51; -4.65; -4.76; -4.71; -5.54; -4.81; -6.20; -5.53; -6.17; -6.47 eV/atom.
Listing DFT formation energy for the structures above in their given order: -0.40; 0.21; -0.12; -0.18; -0.19; -0.43; -0.15; -0.06; -0.07; -0.21; -0.24; -0.06; -0.11; -0.43; -0.14; -0.52; -0.57; -0.63; -0.64; 1.29; -0.48; -0.67; -0.15; -0.59 eV per atom.
Listing DOS at the Fermi energy for the structures above in their given order: 2.2; 16.8; 3.9; 5.5; 0.8; 6.4; 2.7; 6.7; 6.6; 1.2; 1.8; 3.3; 8.3; 4.4; 3.6; 3.5; 9.7; 6.2; 3.4; 7.8; 2.9; 2.9; 6.4; 2.5 states/eV/f.u..